1.
An optimized crystal structure of LiHgIr2, computed with GGA-PBEsol.

Calculated values
formation energy = 0.08 eV per atom
crystal system = monoclinic

a b c (Å): 9.210 2.764 4.738
angles (deg): 90.00 99.07 90.00
Atoms (fractional coordinates):
Li  0.000  0.000  0.000
Li  0.500  0.500  0.000
Hg  0.000  0.500  0.500
Hg  0.500  0.000  0.500
Ir  0.245  0.500  0.229
Ir  0.255  0.000  0.771
Ir  0.745  0.000  0.229
Ir  0.755  0.500  0.771

***

2.
An optimized crystal structure of GdDy3Ni4, computed with GGA-PBEsol.

Calculated values
formation energy = -0.43 eV per atom
crystal system = monoclinic

a b c (Å): 5.312 4.156 6.880
angles (deg): 90.00 90.17 90.00
Atoms (fractional coordinates):
Gd  0.000  0.000  0.000
Dy  0.266  0.500  0.362
Dy  0.500  0.500  0.860
Dy  0.766  0.000  0.500
Ni  0.006  0.500  0.715
Ni  0.262  0.000  0.642
Ni  0.506  0.000  0.144
Ni  0.758  0.500  0.219

***

3.
An optimized crystal structure of CaWS2, computed with GGA-PBEsol.

Calculated values
E_tot = -79.58 eV per cell
crystal system = trigonal

a b c (Å): 3.332 3.332 25.661
angles (deg): 90.00 90.00 120.00
Atoms (fractional coordinates):
Ca  0.000  0.000  0.000
Ca  0.333  0.667  0.667
Ca  0.667  0.333  0.333
W  0.000  0.000  0.500
W  0.333  0.667  0.167
W  0.667  0.333  0.833
S  0.000  0.000  0.108
S  0.000  0.000  0.892
S  0.333  0.667  0.559
S  0.333  0.667  0.775
S  0.667  0.333  0.225
S  0.667  0.333  0.441

***

4.
An optimized crystal structure of Ba2NbFeBi, computed with GGA-PBEsol.

Calculated values
formation energy = 1.07 eV per atom
crystal system = tetragonal

a b c (Å): 5.945 5.945 5.373
angles (deg): 90.00 90.00 90.00
Atoms (fractional coordinates):
Ba  0.000  0.500  0.000
Ba  0.500  0.000  0.000
Nb  0.000  0.000  0.000
Fe  0.500  0.500  0.500
Bi  0.000  0.000  0.500

***

5.
An optimized crystal structure of TaCd2Sb, computed with GGA-PBEsol.

Calculated values
E_tot = -18.93 eV per cell
crystal system = tetragonal

a b c (Å): 3.611 3.611 6.195
angles (deg): 90.00 90.00 90.00
Atoms (fractional coordinates):
Ta  0.000  0.000  0.000
Cd  0.000  0.000  0.502
Cd  0.500  0.500  0.274
Sb  0.500  0.500  0.796

***

6.
An optimized crystal structure of LiSiTe2, computed with GGA-PBEsol.

Calculated values
E_tot = -48.42 eV per cell
crystal system = trigonal

a b c (Å): 3.921 3.921 20.722
angles (deg): 90.00 90.00 120.00
Atoms (fractional coordinates):
Li  0.000  0.000  0.000
Li  0.333  0.667  0.667
Li  0.667  0.333  0.333
Si  0.000  0.000  0.500
Si  0.333  0.667  0.167
Si  0.667  0.333  0.833
Te  0.000  0.000  0.244
Te  0.000  0.000  0.756
Te  0.333  0.667  0.423
Te  0.333  0.667  0.910
Te  0.667  0.333  0.090
Te  0.667  0.333  0.577

***

7.
An optimized crystal structure of YCd2S2, computed with GGA-PBEsol.

Calculated values
E_tot = -43.04 eV per cell
crystal system = tetragonal

a b c (Å): 3.683 3.683 16.272
angles (deg): 90.00 90.00 90.00
Atoms (fractional coordinates):
Y  0.000  0.000  0.000
Y  0.500  0.500  0.500
Cd  0.000  0.500  0.250
Cd  0.000  0.500  0.750
Cd  0.500  0.000  0.250
Cd  0.500  0.000  0.750
S  0.000  0.000  0.414
S  0.000  0.000  0.586
S  0.500  0.500  0.086
S  0.500  0.500  0.914

***

8.
An optimized crystal structure of TiNbIn2, computed with GGA-PBEsol.

Calculated values
formation energy = 0.09 eV per atom
crystal system = cubic

a b c (Å): 6.687 6.687 6.687
angles (deg): 90.00 90.00 90.00
Atoms (fractional coordinates):
Ti  0.000  0.000  0.000
Ti  0.000  0.500  0.500
Ti  0.500  0.000  0.500
Ti  0.500  0.500  0.000
Nb  0.000  0.000  0.500
Nb  0.000  0.500  0.000
Nb  0.500  0.000  0.000
Nb  0.500  0.500  0.500
In  0.250  0.250  0.250
In  0.250  0.250  0.750
In  0.250  0.750  0.250
In  0.250  0.750  0.750
In  0.750  0.250  0.250
In  0.750  0.250  0.750
In  0.750  0.750  0.250
In  0.750  0.750  0.750

***

Calculated size of the total moment, 0.00; 7.20; 0.02; 3.38; 0.00; 0.00; 0.00; 0.01 μB per cell (same order as the records).